(1)
## NdReSi2 (PBE-GGA)

Data for crystalline NdReSi2 at its relaxed geometry.

Results
Raw formation energy ... 0.06 eV per formula unit
Crystal system ... trigonal

a = 4.7420 Å, b = 4.7420 Å, c = 10.9215 Å
α = 90.00°, β = 90.00°, γ = 120.00°
Space group R-3m (No. 166, hexagonal axes)
One atom of each set of equivalent atoms:
Nd1 0.0000 0.0000 0.0000 [3 per cell]
Re1 0.0000 0.0000 0.5000 [3 per cell]
Si1 0.0000 0.0000 0.2598 [6 per cell]

---

(2)
## CaTiCd2B (PBE-GGA)

Data for crystalline CaTiCd2B at its relaxed geometry.

Results
ΔH_f (0 K) ... 2067.2 meV/atom
Crystal system ... tetragonal

a = 5.667 Å, b = 5.667 Å, c = 5.529 Å
α = 90.00°, β = 90.00°, γ = 90.00°
Space group P4/mmm (No. 123)
One atom of each set of equivalent atoms:
Ca1 0.000 0.000 0.000 [1 per cell]
Ti1 0.000 0.000 0.500 [1 per cell]
Cd1 0.000 0.500 0.000 [2 per cell]
B1 0.500 0.500 0.500 [1 per cell]

---

(3)
## YFeOs2 (PBE-GGA)

Data for crystalline YFeOs2 at its relaxed geometry.

Results
ΔH_f (0 K) ... 315.8 meV/atom
Excess energy over the best structure of this formula in the dataset ... 83 meV/atom
Crystal system ... monoclinic

a = 2.890 Å, b = 4.232 Å, c = 5.698 Å
α = 90.00°, β = 103.90°, γ = 90.00°
Space group P2/m (No. 10)
One atom of each set of equivalent atoms:
Y1 0.000 0.000 0.000 [1 per cell]
Fe1 0.500 0.000 0.500 [1 per cell]
Os1 0.325 0.500 0.702 [2 per cell]

---

(4)
## PtRh7W4 (PBE-GGA)

Data for crystalline PtRh7W4 at its relaxed geometry.

Results
ΔH_f (0 K) ... 319.3 meV/atom
Crystal system ... monoclinic

a = 10.319 Å, b = 4.700 Å, c = 9.352 Å
α = 90.00°, β = 120.26°, γ = 90.00°
Space group C2/m (No. 12)
One atom of each set of equivalent atoms:
Pt1 0.000 0.000 0.000 [2 per cell]
Rh1 0.000 0.500 0.000 [2 per cell]
Rh2 0.070 0.000 0.353 [4 per cell]
Rh3 0.145 0.500 0.554 [4 per cell]
Rh4 0.212 0.000 0.908 [4 per cell]
W1 0.078 0.500 0.771 [4 per cell]
W2 0.234 0.500 0.320 [4 per cell]

---

(5)
## TcAg2Br (PBE-GGA)

Data for crystalline TcAg2Br at its relaxed geometry.

Results
Raw formation energy ... 1.66 eV per formula unit
Excess energy over the best structure of this formula in the dataset ... 0 meV/atom
Crystal system ... trigonal

a = 3.0392 Å, b = 3.0392 Å, c = 28.4301 Å
α = 90.00°, β = 90.00°, γ = 120.00°
Space group R3m (No. 160, hexagonal axes)
One atom of each set of equivalent atoms:
Tc1 0.0000 0.0000 0.0000 [3 per cell]
Ag1 0.0000 0.0000 0.2545 [3 per cell]
Ag2 0.0000 0.0000 0.5069 [3 per cell]
Br1 0.0000 0.0000 0.7324 [3 per cell]

---

(6)
## CuPt2Pb (PBE-GGA)

Data for crystalline CuPt2Pb at its relaxed geometry.

Results
ΔH_f (0 K) ... 17.3 meV/atom
Crystal system ... tetragonal

a = 4.008 Å, b = 4.008 Å, c = 8.533 Å
α = 90.00°, β = 90.00°, γ = 90.00°
Space group I-4m2 (No. 119)
One atom of each set of equivalent atoms:
Cu1 0.000 0.000 0.000 [2 per cell]
Pt1 0.000 0.000 0.500 [2 per cell]
Pt2 0.000 0.500 0.250 [2 per cell]
Pb1 0.000 0.500 0.750 [2 per cell]